Here is a geometry-optimized Cd2AgClF structure from the Alexandria database. Energies are from PBE-GGA.

a b c (Å): 5.088 4.574 5.088
angles (deg): 90.00 90.00 90.00
Fractional coordinates of all 5 atoms:
1 F 0.000 0.000 0.000
2 Cl 0.500 0.500 0.500
3 Ag 0.000 0.500 0.000
4 Cd 0.000 0.000 0.500
5 Cd 0.500 0.000 0.000

raw formation energy = -388 meV per atom
V = 23.68 Å³ per atom
VASP energy = -2.068 eV/atom